! PBE Mg3ReMo, optimized geometry; values from VASP
&SYSTEM
  ibrav = 0, nat = 5, ntyp = 3
/
ATOMIC_SPECIES
Re 186.21 Re.upf
Mo 95.94 Mo.upf
Mg 24.30 Mg.upf
ATOMIC_POSITIONS crystal
Re 0.0000 0.0000 0.0000
Mo 0.5000 0.5000 0.5000
Mg 0.0000 0.5000 0.0000
Mg 0.0000 0.0000 0.5000
Mg 0.5000 0.0000 0.0000
CELL_PARAMETERS angstrom
-4.2785 2.1611 -1.4029
-1.1890 -4.0686 -2.6413
-2.2857 -1.9287 3.9999
! Volume, Å³ per cell: 124.6
! DFT formation energy, meV/atom: 1596
! Relative energy among the computed polymorphs, eV per atom: 0.0000